1.
Material: TaIr2Os
Method: DFT, PBE
State: relaxed

a = 4.4648 Å, b = 4.4648 Å, c = 4.4648 Å
α = 60.00°, β = 60.00°, γ = 60.00°
With the nearest neighbours (Å) after each atom.
Element x y z (fractional)
Ir: 0.2500 0.2500 0.2500  4 Os 2.73, 4 Ta 2.73
Ir: 0.7500 0.7500 0.7500  4 Os 2.73, 4 Ta 2.73
Os: 0.5000 0.5000 0.5000  8 Ir 2.73
Ta: 0.0000 0.0000 0.0000  8 Ir 2.73

space group: Fm-3m
density: 19.9 g/cm³
volume: 15.734 Å³/atom
uncorrected energy: -9.9869 eV/atom
formation energy from the elements: 0.21 eV per atom



2.
Material: TaIr2Os
Method: DFT, PBE
State: relaxed

a = 2.8146 Å, b = 4.7524 Å, c = 5.5929 Å
α = 54.43°, β = 90.00°, γ = 90.00°
With the nearest neighbours (Å) after each atom.
Element x y z (fractional)
Ir: 0.0000 0.0000 0.0000  6 Ir 2.76-2.81, 4 Os 2.78, 2 Ta 2.80
Ir: 0.5000 0.5000 0.0000  6 Ir 2.76-2.81, 4 Ta 2.78, 2 Os 2.80
Os: 0.5000 0.5000 0.5000  4 Ta 2.76, 6 Ir 2.78-2.80, 2 Os 2.81
Ta: 0.0000 0.0000 0.5000  4 Os 2.76, 6 Ir 2.78-2.80, 2 Ta 2.81

space group: P2/m
density: 20.6 g/cm³
volume: 15.213 Å³/atom
uncorrected energy: -10.4827 eV/atom
formation energy from the elements: -0.28 eV per atom



3.
Material: TaIrOs2
Method: DFT, PBE
State: relaxed

a = 4.7943 Å, b = 4.7943 Å, c = 4.8446 Å
α = 80.12°, β = 80.12°, γ = 33.93°
With the nearest neighbours (Å) after each atom.
Element x y z (fractional)
Ir: 0.2500 0.2500 0.2500  6 Os 2.73-2.75, 4 Ta 2.80, 2 Ir 2.80
Os: 0.9975 0.9975 0.0180  6 Os 2.65-2.94, 3 Ir 2.73-2.75, 3 Ta 2.81-2.82
Os: 0.5025 0.5025 0.4820  6 Os 2.65-2.94, 3 Ir 2.73-2.75, 3 Ta 2.81-2.82
Ta: 0.7500 0.7500 0.7500  4 Ir 2.80, 2 Ta 2.80, 6 Os 2.81-2.82

space group: C2/m
density: 20.5 g/cm³
volume: 15.288 Å³/atom
uncorrected energy: -10.9452 eV/atom
formation energy from the elements: -0.15 eV per atom



4.
Material: Ta2IrOs2
Method: DFT, PBE
State: relaxed

a = 5.0024 Å, b = 5.0046 Å, c = 4.4496 Å
α = 63.60°, β = 63.58°, γ = 63.50°
With the nearest neighbours (Å) after each atom.
Element x y z (fractional)
Ta: 0.7025 0.2021 0.7977  2 Os 2.59
Ta: 0.2975 0.7979 0.2023  2 Os 2.59
Ir: 0.0000 0.5000 0.0000  4 Os 2.65
Os: 0.2723 0.2279 0.4999  1 Os 2.40, 2 Ta 2.59, 2 Ir 2.65
Os: 0.7277 0.7721 0.5001  1 Os 2.40, 2 Ta 2.59, 2 Ir 2.65

space group: Immm
density: 18.3 g/cm³
volume: 16.993 Å³/atom
uncorrected energy: -11.0318 eV/atom
formation energy from the elements: -0.03 eV per atom



5.
Material: TaIrOs2
Method: DFT, PBE
State: relaxed

a = 4.8173 Å, b = 4.8173 Å, c = 4.7869 Å
α = 80.19°, β = 80.19°, γ = 33.97°
With the nearest neighbours (Å) after each atom.
Element x y z (fractional)
Ir: 0.2524 0.2524 0.2470  7 Os 2.68-2.88, 3 Ta 2.75-2.80, 2 Ir 2.81
Os: 0.0025 0.0025 0.9858  5 Os 2.69-2.81, 4 Ta 2.75-2.81, 3 Ir 2.80-2.81
Os: 0.7455 0.7455 0.7733  4 Ir 2.68-2.88, 5 Os 2.69-2.81, 3 Ta 2.83-2.85
Ta: 0.4996 0.4996 0.4939  3 Ir 2.75-2.80, 7 Os 2.75-2.85, 2 Ta 2.81

space group: Cm
density: 20.5 g/cm³
volume: 15.268 Å³/atom
uncorrected energy: -10.9583 eV/atom
formation energy from the elements: -0.16 eV per atom



6.
Material: TaIr2Os
Method: DFT, PBE
State: relaxed

a = 6.2111 Å, b = 4.7907 Å, c = 2.8014 Å
α = 90.02°, β = 63.15°, γ = 121.08°
With the nearest neighbours (Å) after each atom.
Element x y z (fractional)
Ir: 0.0000 0.0000 0.0000  4 Ir 2.77-2.80, 4 Os 2.77-2.78, 4 Ta 2.77-2.78
Ir: 0.5000 0.0000 0.5000  4 Ir 2.77-2.80, 4 Ta 2.77-2.78, 4 Os 2.77-2.78
Os: 0.0000 0.5000 0.5000  2 Ta 2.77, 8 Ir 2.77-2.78, 2 Os 2.80
Ta: 0.5000 0.5000 0.0000  2 Os 2.77, 8 Ir 2.77-2.78, 2 Ta 2.80

space group: Cmmm
density: 20.7 g/cm³
volume: 15.167 Å³/atom
uncorrected energy: -10.5542 eV/atom
formation energy from the elements: -0.35 eV per atom



7.
Material: Ta2IrOs
Method: DFT, PBE
State: relaxed

a = 4.7142 Å, b = 4.7142 Å, c = 2.9486 Å
α = 90.00°, β = 90.00°, γ = 90.00°
With the nearest neighbours (Å) after each atom.
Element x y z (fractional)
Ir: 0.5000 0.0000 0.5000  8 Ta 2.78, 2 Ir 2.95
Os: 0.0000 0.5000 0.5000  8 Ta 2.78, 2 Os 2.95
Ta: 0.0000 0.0000 0.0000  4 Ir 2.78, 4 Os 2.78, 2 Ta 2.95
Ta: 0.5000 0.5000 0.0000  4 Os 2.78, 4 Ir 2.78, 2 Ta 2.95

space group: P4/mmm
density: 18.9 g/cm³
volume: 16.382 Å³/atom
uncorrected energy: -11.2200 eV/atom
formation energy from the elements: -0.27 eV per atom



8.
Material: TaIr4Os
Method: DFT, PBE
State: relaxed

a = 5.1160 Å, b = 5.1160 Å, c = 5.1160 Å
α = 60.00°, β = 60.00°, γ = 60.00°
With the nearest neighbours (Å) after each atom.
Element x y z (fractional)
Ta: 0.0000 0.0000 0.0000  12 Ir 3.00, 4 Os 3.13
Ir: 0.8730 0.3757 0.3757  6 Ir 2.54-2.57
Ir: 0.3757 0.3757 0.8730  6 Ir 2.54-2.57
Ir: 0.3757 0.8730 0.3757  6 Ir 2.54-2.57
Ir: 0.3757 0.3757 0.3757  6 Ir 2.54-2.57
Os: 0.7500 0.7500 0.7500  12 Ir 3.00, 4 Ta 3.13

space group: F-43m
density: 20.0 g/cm³
volume: 15.781 Å³/atom
uncorrected energy: -9.5178 eV/atom
formation energy from the elements: 0.24 eV per atom